Entry 1:
# FeHSe2N | Alexandria | PBE | optimized geometry
# - Fermi-level density of states (states/eV per atom) = 0.8458
# - magnetization (μB/f.u.) = 3.1
# - distance to the lowest polymorph of the same formula (meV/atom) = 195.8
data_FeHSe2N
_cell_length_a 4.856
_cell_length_b 4.856
_cell_length_c 2.658
_cell_angle_alpha 90.00
_cell_angle_beta 90.00
_cell_angle_gamma 90.00
_space_group_name_H-M_alt 'P 4/m m m'
_space_group_IT_number 123
_space_group_name_Hall '-P 4 2'
loop_
_atom_site_label
_atom_site_type_symbol
_atom_site_fract_x
_atom_site_fract_y
_atom_site_fract_z
_atom_site_occupancy
Fe1 Fe 0.000 0.000 0.000 1
H1 H 0.500 0.500 0.500 1
Se1 Se 0.000 0.500 0.500 1
N1 N 0.500 0.500 0.000 1

Entry 2:
# Fe2HSeN | Alexandria | PBE | optimized geometry
# - Fermi-level density of states (states/eV per atom) = 1.5840
# - total energy (eV per atom) = -4.757
# - magnetization (μB/f.u.) = 6.4
data_Fe2HSeN
_cell_length_a 4.565
_cell_length_b 4.565
_cell_length_c 3.833
_cell_angle_alpha 90.00
_cell_angle_beta 90.00
_cell_angle_gamma 90.00
_space_group_name_H-M_alt 'P 4/m m m'
_space_group_IT_number 123
_space_group_name_Hall '-P 4 2'
loop_
_atom_site_label
_atom_site_type_symbol
_atom_site_fract_x
_atom_site_fract_y
_atom_site_fract_z
_atom_site_occupancy
Fe1 Fe 0.000 0.500 0.000 1
H1 H 0.000 0.000 0.500 1
Se1 Se 0.500 0.500 0.000 1
N1 N 0.500 0.500 0.500 1

Entry 3:
# FeHSeN2 | Alexandria | PBE | optimized geometry
# - Fermi-level density of states (states/eV per atom) = 0.4513
# - magnetization (μB/f.u.) = 0.0
# - distance to the lowest polymorph of the same formula (meV/atom) = 0.0
data_FeHSeN2
_cell_length_a 3.459
_cell_length_b 3.459
_cell_length_c 5.240
_cell_angle_alpha 90.00
_cell_angle_beta 90.00
_cell_angle_gamma 90.00
_space_group_name_H-M_alt 'P 4/m m m'
_space_group_IT_number 123
_space_group_name_Hall '-P 4 2'
loop_
_atom_site_label
_atom_site_type_symbol
_atom_site_fract_x
_atom_site_fract_y
_atom_site_fract_z
_atom_site_occupancy
Fe1 Fe 0.000 0.000 0.000 1
H1 H 0.500 0.500 0.500 1
Se1 Se 0.000 0.000 0.500 1
N1 N 0.000 0.500 0.000 1

Which of these has the lowest Fermi-level density of states?
FeHSeN2

What did the third record say?
# FeHSeN2 | Alexandria | PBE | optimized geometry
# - Fermi-level density of states (states/eV per atom) = 0.4513
# - magnetization (μB/f.u.) = 0.0
# - distance to the lowest polymorph of the same formula (meV/atom) = 0.0
data_FeHSeN2
_cell_length_a 3.459
_cell_length_b 3.459
_cell_length_c 5.240
_cell_angle_alpha 90.00
_cell_angle_beta 90.00
_cell_angle_gamma 90.00
_space_group_name_H-M_alt 'P 4/m m m'
_space_group_IT_number 123
_space_group_name_Hall '-P 4 2'
loop_
_atom_site_label
_atom_site_type_symbol
_atom_site_fract_x
_atom_site_fract_y
_atom_site_fract_z
_atom_site_occupancy
Fe1 Fe 0.000 0.000 0.000 1
H1 H 0.500 0.500 0.500 1
Se1 Se 0.000 0.000 0.500 1
N1 N 0.000 0.500 0.000 1

Repeat the second record exactly.
# Fe2HSeN | Alexandria | PBE | optimized geometry
# - Fermi-level density of states (states/eV per atom) = 1.5840
# - total energy (eV per atom) = -4.757
# - magnetization (μB/f.u.) = 6.4
data_Fe2HSeN
_cell_length_a 4.565
_cell_length_b 4.565
_cell_length_c 3.833
_cell_angle_alpha 90.00
_cell_angle_beta 90.00
_cell_angle_gamma 90.00
_space_group_name_H-M_alt 'P 4/m m m'
_space_group_IT_number 123
_space_group_name_Hall '-P 4 2'
loop_
_atom_site_label
_atom_site_type_symbol
_atom_site_fract_x
_atom_site_fract_y
_atom_site_fract_z
_atom_site_occupancy
Fe1 Fe 0.000 0.500 0.000 1
H1 H 0.000 0.000 0.500 1
Se1 Se 0.500 0.500 0.000 1
N1 N 0.500 0.500 0.500 1